# ZrFeMo | the Alexandria database | PBE-GGA | relaxed
data_ZrFeMo
_space_group_name_H-M_alt 'P 1'
_space_group_IT_number 1
_cell_length_a 4.359
_cell_length_b 4.359
_cell_length_c 4.359
_cell_angle_alpha 60.00
_cell_angle_beta 60.00
_cell_angle_gamma 60.00
loop_
_space_group_symop_operation_xyz
'x,y,z'
loop_
_atom_site_label
_atom_site_fract_x
_atom_site_fract_y
_atom_site_fract_z
Zr1 0.000 0.000 0.000
Fe1 0.750 0.750 0.750
Mo1 0.250 0.250 0.250
# - total energy (eV/cell) = -24.16
# - calculated formation energy (eV/atom) = 1.23

---

# YTa2Tc | the Alexandria database | PBE-GGA | relaxed
data_YTa2Tc
_space_group_name_H-M_alt 'P 1'
_space_group_IT_number 1
_cell_length_a 2.963
_cell_length_b 2.963
_cell_length_c 9.650
_cell_angle_alpha 90.00
_cell_angle_beta 90.00
_cell_angle_gamma 112.60
loop_
_space_group_symop_operation_xyz
'x,y,z'
loop_
_atom_site_label
_atom_site_fract_x
_atom_site_fract_y
_atom_site_fract_z
Y1 0.000 0.000 0.000
Ta1 0.500 0.500 0.287
Ta2 0.500 0.500 0.713
Tc1 0.000 0.000 0.500
# - total energy (eV/cell) = -39.73
# - calculated formation energy (eV/atom) = 0.20

---

# Pm2ErBi | the Alexandria database | PBE-GGA | relaxed
data_Pm2ErBi
_space_group_name_H-M_alt 'P 1'
_space_group_IT_number 1
_cell_length_a 4.292
_cell_length_b 4.292
_cell_length_c 6.820
_cell_angle_alpha 90.00
_cell_angle_beta 90.00
_cell_angle_gamma 90.00
loop_
_space_group_symop_operation_xyz
'x,y,z'
loop_
_atom_site_label
_atom_site_fract_x
_atom_site_fract_y
_atom_site_fract_z
Pm1 0.000 0.000 0.239
Pm2 0.000 0.000 0.761
Er1 0.500 0.500 0.500
Bi1 0.500 0.500 0.000
# - total energy (eV/cell) = -19.50
# - calculated formation energy (eV/atom) = -0.39

---

# AcEuAg | the Alexandria database | PBE-GGA | relaxed
data_AcEuAg
_space_group_name_H-M_alt 'P 1'
_space_group_IT_number 1
_cell_length_a 5.427
_cell_length_b 5.427
_cell_length_c 5.427
_cell_angle_alpha 60.00
_cell_angle_beta 60.00
_cell_angle_gamma 60.00
loop_
_space_group_symop_operation_xyz
'x,y,z'
loop_
_atom_site_label
_atom_site_fract_x
_atom_site_fract_y
_atom_site_fract_z
Ac1 0.000 0.000 0.000
Eu1 0.500 0.500 0.500
Ag1 0.750 0.750 0.750
# - total energy (eV/cell) = -17.31
# - calculated formation energy (eV/atom) = -0.02

---

# YTaIr2 | the Alexandria database | PBE-GGA | relaxed
data_YTaIr2
_space_group_name_H-M_alt 'P 1'
_space_group_IT_number 1
_cell_length_a 5.991
_cell_length_b 5.991
_cell_length_c 5.991
_cell_angle_alpha 104.27
_cell_angle_beta 104.27
_cell_angle_gamma 120.46
loop_
_space_group_symop_operation_xyz
'x,y,z'
loop_
_atom_site_label
_atom_site_fract_x
_atom_site_fract_y
_atom_site_fract_z
Y1 0.000 0.000 0.000
Y2 0.750 0.250 0.500
Ta1 0.250 0.750 0.500
Ta2 0.500 0.500 0.000
Ir1 0.162 0.625 0.037
Ir2 0.375 0.412 0.537
Ir3 0.588 0.125 0.963
Ir4 0.875 0.838 0.463
# - total energy (eV/cell) = -73.31
# - calculated formation energy (eV/atom) = -0.15

---

# In2CuPdC | the Alexandria database | PBE-GGA | relaxed
data_In2CuPdC
_space_group_name_H-M_alt 'P 1'
_space_group_IT_number 1
_cell_length_a 4.863
_cell_length_b 4.863
_cell_length_c 4.710
_cell_angle_alpha 90.00
_cell_angle_beta 90.00
_cell_angle_gamma 90.00
loop_
_space_group_symop_operation_xyz
'x,y,z'
loop_
_atom_site_label
_atom_site_fract_x
_atom_site_fract_y
_atom_site_fract_z
In1 0.000 0.500 0.000
In2 0.500 0.000 0.000
Cu1 0.000 0.000 0.000
Pd1 0.000 0.000 0.500
C1 0.500 0.500 0.500
# - total energy (eV/cell) = -16.40
# - calculated formation energy (eV/atom) = 1.52

---

# BaSrCr2 | the Alexandria database | PBE-GGA | relaxed
data_BaSrCr2
_space_group_name_H-M_alt 'P 1'
_space_group_IT_number 1
_cell_length_a 7.166
_cell_length_b 7.166
_cell_length_c 7.166
_cell_angle_alpha 103.21
_cell_angle_beta 103.21
_cell_angle_gamma 122.90
loop_
_space_group_symop_operation_xyz
'x,y,z'
loop_
_atom_site_label
_atom_site_fract_x
_atom_site_fract_y
_atom_site_fract_z
Ba1 0.000 0.000 0.000
Ba2 0.750 0.250 0.500
Sr1 0.250 0.750 0.500
Sr2 0.500 0.500 0.000
Cr1 0.128 0.625 0.003
Cr2 0.375 0.378 0.503
Cr3 0.622 0.125 0.997
Cr4 0.875 0.872 0.497
# - total energy (eV/cell) = -37.17
# - calculated formation energy (eV/atom) = 1.07

---

# CdSi | the Alexandria database | PBE-GGA | relaxed
data_CdSi
_space_group_name_H-M_alt 'P 1'
_space_group_IT_number 1
_cell_length_a 5.418
_cell_length_b 5.418
_cell_length_c 5.220
_cell_angle_alpha 90.00
_cell_angle_beta 90.00
_cell_angle_gamma 120.00
loop_
_space_group_symop_operation_xyz
'x,y,z'
loop_
_atom_site_label
_atom_site_fract_x
_atom_site_fract_y
_atom_site_fract_z
Cd1 0.000 0.000 0.000
Cd2 0.333 0.667 0.500
Cd3 0.667 0.333 0.500
Si1 0.000 0.500 0.000
Si2 0.500 0.000 0.000
Si3 0.500 0.500 0.000
# - formation energy from raw total energies (eV per atom) = 0.452
# - total energy (eV/cell) = -16.30

---

# LaPmInBi | the Alexandria database | PBE-GGA | relaxed
data_LaPmInBi
_space_group_name_H-M_alt 'P 1'
_space_group_IT_number 1
_cell_length_a 5.601
_cell_length_b 5.601
_cell_length_c 5.601
_cell_angle_alpha 60.00
_cell_angle_beta 60.00
_cell_angle_gamma 60.00
loop_
_space_group_symop_operation_xyz
'x,y,z'
loop_
_atom_site_label
_atom_site_fract_x
_atom_site_fract_y
_atom_site_fract_z
La1 0.000 0.000 0.000
Pm1 0.500 0.500 0.500
In1 0.750 0.750 0.750
Bi1 0.250 0.250 0.250
# - total energy (eV/cell) = -18.45
# - calculated formation energy (eV/atom) = -0.54

---

# TaCdI3 | the Alexandria database | PBE-GGA | relaxed
data_TaCdI3
_space_group_name_H-M_alt 'P 1'
_space_group_IT_number 1
_cell_length_a 5.591
_cell_length_b 5.591
_cell_length_c 5.591
_cell_angle_alpha 90.00
_cell_angle_beta 90.00
_cell_angle_gamma 90.00
loop_
_space_group_symop_operation_xyz
'x,y,z'
loop_
_atom_site_label
_atom_site_fract_x
_atom_site_fract_y
_atom_site_fract_z
Ta1 0.000 0.000 0.000
Cd1 0.500 0.500 0.500
I1 0.000 0.000 0.500
I2 0.000 0.500 0.000
I3 0.500 0.000 0.000
# - formation energy from raw total energies (eV per atom) = 0.183
# - total energy (eV/cell) = -16.51

---

# LiInP2 | the Alexandria database | PBE-GGA | relaxed
data_LiInP2
_space_group_name_H-M_alt 'P 1'
_space_group_IT_number 1
_cell_length_a 4.292
_cell_length_b 4.292
_cell_length_c 3.831
_cell_angle_alpha 90.00
_cell_angle_beta 90.00
_cell_angle_gamma 90.00
loop_
_space_group_symop_operation_xyz
'x,y,z'
loop_
_atom_site_label
_atom_site_fract_x
_atom_site_fract_y
_atom_site_fract_z
Li1 0.000 0.000 0.000
In1 0.500 0.500 0.000
P1 0.000 0.500 0.500
P2 0.500 0.000 0.500
# - total energy (eV/cell) = -15.18
# - calculated formation energy (eV/atom) = 0.07

---

# Cd4Cu3 | the Alexandria database | PBE-GGA | relaxed
data_Cd4Cu3
_space_group_name_H-M_alt 'P 1'
_space_group_IT_number 1
_cell_length_a 5.498
_cell_length_b 5.498
_cell_length_c 5.498
_cell_angle_alpha 90.00
_cell_angle_beta 90.00
_cell_angle_gamma 90.00
loop_
_space_group_symop_operation_xyz
'x,y,z'
loop_
_atom_site_label
_atom_site_fract_x
_atom_site_fract_y
_atom_site_fract_z
Cd1 0.195 0.195 0.805
Cd2 0.195 0.805 0.195
Cd3 0.805 0.195 0.195
Cd4 0.805 0.805 0.805
Cu1 0.000 0.500 0.500
Cu2 0.500 0.000 0.500
Cu3 0.500 0.500 0.000
# - total energy (eV/cell) = -12.39
# - calculated formation energy (eV/atom) = 0.51

---

# SrTbAgPt | the Alexandria database | PBE-GGA | relaxed
data_SrTbAgPt
_space_group_name_H-M_alt 'P 1'
_space_group_IT_number 1
_cell_length_a 5.173
_cell_length_b 5.173
_cell_length_c 5.173
_cell_angle_alpha 60.00
_cell_angle_beta 60.00
_cell_angle_gamma 60.00
loop_
_space_group_symop_operation_xyz
'x,y,z'
loop_
_atom_site_label
_atom_site_fract_x
_atom_site_fract_y
_atom_site_fract_z
Sr1 0.000 0.000 0.000
Tb1 0.500 0.500 0.500
Ag1 0.250 0.250 0.250
Pt1 0.750 0.750 0.750
# - total energy (eV/cell) = -17.48
# - calculated formation energy (eV/atom) = -0.57

---

# BaInRh | the Alexandria database | PBE-GGA | relaxed
data_BaInRh
_space_group_name_H-M_alt 'P 1'
_space_group_IT_number 1
_cell_length_a 7.095
_cell_length_b 6.941
_cell_length_c 9.051
_cell_angle_alpha 90.00
_cell_angle_beta 125.95
_cell_angle_gamma 90.00
loop_
_space_group_symop_operation_xyz
'x,y,z'
loop_
_atom_site_label
_atom_site_fract_x
_atom_site_fract_y
_atom_site_fract_z
Ba1 0.196 0.141 0.412
Ba2 0.196 0.359 0.912
Ba3 0.804 0.641 0.088
Ba4 0.804 0.859 0.588
In1 0.304 0.645 0.604
In2 0.304 0.855 0.104
In3 0.696 0.145 0.896
In4 0.696 0.355 0.396
Rh1 0.359 0.596 0.336
Rh2 0.359 0.904 0.836
Rh3 0.641 0.096 0.164
Rh4 0.641 0.404 0.664
# - total energy (eV/cell) = -52.91
# - calculated formation energy (eV/atom) = -0.40

---

# Nd2ScTlO6 | the Alexandria database | PBE-GGA | relaxed
data_Nd2ScTlO6
_space_group_name_H-M_alt 'P 1'
_space_group_IT_number 1
_cell_length_a 5.682
_cell_length_b 5.990
_cell_length_c 10.070
_cell_angle_alpha 90.00
_cell_angle_beta 123.94
_cell_angle_gamma 90.00
loop_
_space_group_symop_operation_xyz
'x,y,z'
loop_
_atom_site_label
_atom_site_fract_x
_atom_site_fract_y
_atom_site_fract_z
Nd1 0.226 0.061 0.246
Nd2 0.226 0.439 0.746
Nd3 0.774 0.561 0.254
Nd4 0.774 0.939 0.754
Sc1 0.500 0.000 0.000
Sc2 0.500 0.500 0.500
Tl1 0.000 0.000 0.500
Tl2 0.000 0.500 0.000
O1 0.139 0.185 0.938
O2 0.139 0.315 0.438
O3 0.241 0.707 0.925
O4 0.241 0.793 0.425
O5 0.394 0.059 0.763
O6 0.394 0.441 0.263
O7 0.606 0.559 0.737
O8 0.606 0.941 0.237
O9 0.759 0.207 0.575
O10 0.759 0.293 0.075
O11 0.861 0.685 0.562
O12 0.861 0.815 0.062
# - formation energy from raw total energies (eV per atom) = -2.718
# - total energy (eV/cell) = -150.32

---

# Sc2AlCdGe | the Alexandria database | PBE-GGA | relaxed
data_Sc2AlCdGe
_space_group_name_H-M_alt 'P 1'
_space_group_IT_number 1
_cell_length_a 5.068
_cell_length_b 5.068
_cell_length_c 4.961
_cell_angle_alpha 90.00
_cell_angle_beta 90.00
_cell_angle_gamma 90.00
loop_
_space_group_symop_operation_xyz
'x,y,z'
loop_
_atom_site_label
_atom_site_fract_x
_atom_site_fract_y
_atom_site_fract_z
Sc1 0.000 0.500 0.000
Sc2 0.500 0.000 0.000
Al1 0.000 0.000 0.500
Cd1 0.500 0.500 0.500
Ge1 0.500 0.500 0.000
# - total energy (eV/cell) = -21.41
# - calculated formation energy (eV/atom) = 0.11

---

# LiPuUSe3 | the Alexandria database | PBE-GGA | relaxed
data_LiPuUSe3
_space_group_name_H-M_alt 'P 1'
_space_group_IT_number 1
_cell_length_a 8.524
_cell_length_b 3.961
_cell_length_c 8.800
_cell_angle_alpha 90.00
_cell_angle_beta 104.21
_cell_angle_gamma 90.00
loop_
_space_group_symop_operation_xyz
'x,y,z'
loop_
_atom_site_label
_atom_site_fract_x
_atom_site_fract_y
_atom_site_fract_z
Li1 0.086 0.250 0.082
Li2 0.914 0.750 0.918
Pu1 0.176 0.250 0.720
Pu2 0.824 0.750 0.280
U1 0.342 0.750 0.346
U2 0.658 0.250 0.654
Se1 0.098 0.250 0.367
Se2 0.223 0.750 0.001
Se3 0.425 0.750 0.686
Se4 0.575 0.250 0.314
Se5 0.777 0.250 0.999
Se6 0.902 0.750 0.633
# - formation energy from raw total energies (eV per atom) = -1.200
# - total energy (eV/cell) = -90.37

---

# CaHfAlW2 | the Alexandria database | PBE-GGA | relaxed
data_CaHfAlW2
_space_group_name_H-M_alt 'P 1'
_space_group_IT_number 1
_cell_length_a 4.847
_cell_length_b 4.847
_cell_length_c 5.406
_cell_angle_alpha 90.00
_cell_angle_beta 90.00
_cell_angle_gamma 90.00
loop_
_space_group_symop_operation_xyz
'x,y,z'
loop_
_atom_site_label
_atom_site_fract_x
_atom_site_fract_y
_atom_site_fract_z
Ca1 0.000 0.000 0.000
Hf1 0.000 0.000 0.500
Al1 0.500 0.500 0.000
W1 0.000 0.500 0.500
W2 0.500 0.000 0.500
# - total energy (eV/cell) = -31.58
# - calculated formation energy (eV/atom) = 2.00

---

# Ga3Si | the Alexandria database | PBE-GGA | relaxed
data_Ga3Si
_space_group_name_H-M_alt 'P 1'
_space_group_IT_number 1
_cell_length_a 4.662
_cell_length_b 4.662
_cell_length_c 4.662
_cell_angle_alpha 60.00
_cell_angle_beta 60.00
_cell_angle_gamma 60.00
loop_
_space_group_symop_operation_xyz
'x,y,z'
loop_
_atom_site_label
_atom_site_fract_x
_atom_site_fract_y
_atom_site_fract_z
Ga1 0.000 0.000 0.000
Ga2 0.250 0.250 0.250
Ga3 0.750 0.750 0.750
Si1 0.500 0.500 0.500
# - formation energy from raw total energies (eV per atom) = 0.190
# - total energy (eV/cell) = -13.74

---

# HfHAu | the Alexandria database | PBE-GGA | relaxed
data_HfHAu
_space_group_name_H-M_alt 'P 1'
_space_group_IT_number 1
_cell_length_a 6.740
_cell_length_b 6.740
_cell_length_c 8.801
_cell_angle_alpha 90.00
_cell_angle_beta 90.00
_cell_angle_gamma 120.00
loop_
_space_group_symop_operation_xyz
'x,y,z'
loop_
_atom_site_label
_atom_site_fract_x
_atom_site_fract_y
_atom_site_fract_z
Hf1 0.168 0.336 0.000
Hf2 0.168 0.832 0.000
Hf3 0.333 0.667 0.540
Hf4 0.336 0.168 0.500
Hf5 0.664 0.832 0.000
Hf6 0.667 0.333 0.040
Hf7 0.832 0.168 0.500
Hf8 0.832 0.664 0.500
H1 0.166 0.332 0.523
H2 0.166 0.834 0.523
H3 0.332 0.166 0.023
H4 0.333 0.667 0.972
H5 0.667 0.333 0.472
H6 0.668 0.834 0.523
H7 0.834 0.166 0.023
H8 0.834 0.668 0.023
Au1 0.000 0.000 0.258
Au2 0.000 0.000 0.758
Au3 0.039 0.520 0.262
Au4 0.480 0.520 0.262
Au5 0.480 0.961 0.262
Au6 0.520 0.039 0.762
Au7 0.520 0.480 0.762
Au8 0.961 0.480 0.762
# - total energy (eV/cell) = -142.58